Density functional theory data (PBE-GGA) for an optimized crystal structure of FeTe.

Results
Size of the total moment, Bohr magnetons per cell: 7.4
DFT total energy, Ry/atom: -0.41833
Space group: Cm
Volume, Å³ per cell: 139.0
Formation energy from raw total energies, meV per atom: 110
Calculated density, g/cm3: 6.57

Structure (POSCAR):
```
FeTe
1.0
6.8756 -1.9482 0.0000
6.8756 1.9482 0.0000
-2.3111 0.0000 5.1896
Fe Te
3 3
Cartesian
0.0000 0.0000 0.0000
-1.0069 0.0000 3.0967
4.3777 0.0000 3.5731
5.4890 0.0000 1.2027
6.5934 0.0000 4.9068
9.6578 0.0000 3.1472
```

Density functional theory data (PBE-GGA) for an optimized crystal structure of HoGaSnHg.

Results
Size of the total moment, Bohr magnetons per cell: 0.0
DFT total energy, Ry/atom: -0.25056
Distance to the lowest polymorph of the same formula, meV per atom: 0.0
Space group: Pmmm
Volume, Å³ per cell: 92.0
ΔH_f (0 K), eV/atom: -0.432
Calculated density, g/cm3: 9.99

Structure (POSCAR):
```
HoGaSnHg
1.0
4.4289 0.0000 0.0000
0.0000 4.5398 0.0000
0.0000 0.0000 4.5779
Ho Ga Sn Hg
1 1 1 1
Cartesian
0.0000 0.0000 0.0000
2.2144 2.2699 0.0000
2.2144 0.0000 2.2889
0.0000 2.2699 2.2889
```

Density functional theory data (PBE-GGA) for an optimized crystal structure of Li5ClF4.

Results
Size of the total moment, Bohr magnetons per cell: 0.0
DFT total energy, Ry/atom: -0.33266
Space group: R-3m
Volume, Å³ per cell: 101.6
Formation energy from raw total energies, meV per atom: -2636
Calculated density, g/cm3: 2.39

Structure (POSCAR):
```
Li5ClF4
1.0
1.5396 0.8889 12.3758
-1.5396 0.8889 12.3758
0.0000 -1.7778 12.3758
Li Cl F
5 1 4
Cartesian
0.0000 0.0000 0.0000
0.0000 0.0000 7.7946
0.0000 0.0000 14.6617
0.0000 0.0000 22.4656
0.0000 0.0000 29.3327
0.0000 0.0000 18.5636
0.0000 0.0000 3.4306
0.0000 0.0000 11.2326
0.0000 0.0000 25.8947
0.0000 0.0000 33.6967
```

Density functional theory data (PBE-GGA) for an optimized crystal structure of MoN.

Results
Size of the total moment, Bohr magnetons per cell: 0.0
DFT total energy, Ry/atom: -0.70393
Space group: Pm-3n
Volume, Å³ per cell: 182.7
Formation energy from raw total energies, meV per atom: 1
Calculated density, g/cm3: 5.99

Structure (POSCAR):
```
MoN
1.0
5.6748 0.0000 0.0000
0.0000 5.6748 0.0000
0.0000 0.0000 5.6748
Mo N
6 6
Cartesian
0.0000 1.4187 2.8374
0.0000 4.2561 2.8374
1.4187 2.8374 0.0000
2.8374 0.0000 1.4187
2.8374 0.0000 4.2561
4.2561 2.8374 0.0000
0.0000 2.8374 1.4187
0.0000 2.8374 4.2561
1.4187 0.0000 2.8374
2.8374 1.4187 0.0000
2.8374 4.2561 0.0000
4.2561 0.0000 2.8374
```

Density functional theory data (PBE-GGA) for an optimized crystal structure of KNaTlPd.

Results
Size of the total moment, Bohr magnetons per cell: 0.0
DFT total energy, Ry/atom: -0.19179
Distance to the lowest polymorph of the same formula, meV per atom: 0.0
Space group: Cm
Volume, Å³ per cell: 128.6
ΔH_f (0 K), eV/atom: -0.116
Calculated density, g/cm3: 4.81

Structure (POSCAR):
```
KNaTlPd
1.0
4.1407 -2.4070 0.0000
4.1407 2.4070 0.0000
-2.7985 0.0000 6.4517
K Na Tl Pd
1 1 1 1
Cartesian
0.0000 0.0000 0.0000
5.4963 0.0000 2.6047
-0.0255 0.0000 4.1853
2.7402 0.0000 3.9601
```

Density functional theory data (PBE-GGA) for an optimized crystal structure of Pr3Sm2In6.

Results
Size of the total moment, Bohr magnetons per cell: 0.0
DFT total energy, Ry/atom: -0.26648
Space group: I4/mmm
Volume, Å³ per cell: 403.5
ΔH_f (0 K), eV/atom: 0.030
Calculated density, g/cm3: 5.81

Structure (POSCAR):
```
Pr3Sm2In6
1.0
-2.9790 2.9790 11.3659
2.9790 -2.9790 11.3659
2.9790 2.9790 -11.3659
Pr Sm In
3 2 6
Cartesian
0.0000 0.0000 0.0000
0.0000 0.0000 3.3453
0.0000 0.0000 19.3864
0.0000 0.0000 9.6657
0.0000 0.0000 13.0661
2.9790 0.0000 1.5548
0.0000 0.0000 6.5361
2.9790 0.0000 9.8111
0.0000 2.9790 1.5548
0.0000 0.0000 16.1957
0.0000 2.9790 9.8111
```

Density functional theory data (PBE-GGA) for an optimized crystal structure of KY2Ag2.

Results
Size of the total moment, Bohr magnetons per cell: 0.0
DFT total energy, Ry/atom: -0.28429
Distance to the lowest polymorph of the same formula, meV per atom: 64.3
Space group: I4/mmm
Volume, Å³ per cell: 158.1
ΔH_f (0 K), eV/atom: 0.078
Calculated density, g/cm3: 4.55

Structure (POSCAR):
```
KY2Ag2
1.0
-2.4800 2.4800 6.4252
2.4800 -2.4800 6.4252
2.4800 2.4800 -6.4252
K Y Ag
1 2 2
Cartesian
0.0000 0.0000 0.0000
2.4800 0.0000 3.2126
0.0000 2.4800 3.2126
0.0000 0.0000 5.0070
0.0000 0.0000 7.8433
```

Density functional theory data (PBE-GGA) for an optimized crystal structure of EuCoC.

Results
Size of the total moment, Bohr magnetons per cell: 6.9
DFT total energy, Ry/atom: -0.63934
Space group: P-6m2
Volume, Å³ per cell: 43.3
ΔH_f (0 K), eV/atom: 0.169
Calculated density, g/cm3: 8.55

Structure (POSCAR):
```
EuCoC
1.0
3.4073 0.0000 0.0000
-1.7037 2.9508 0.0000
0.0000 0.0000 4.3039
Eu Co C
1 1 1
Cartesian
0.0000 0.0000 0.0000
1.7037 0.9836 2.1520
0.0000 1.9672 2.1520
```

Density functional theory data (PBE-GGA) for an optimized crystal structure of LuTiIr4.

Results
Size of the total moment, Bohr magnetons per cell: 0.0
DFT total energy, Ry/atom: -0.62950
Space group: F-43m
Volume, Å³ per cell: 101.3
ΔH_f (0 K), eV/atom: -0.588
Calculated density, g/cm3: 16.26

Structure (POSCAR):
```
LuTiIr4
1.0
0.0000 3.6994 3.6994
3.6994 0.0000 3.6994
3.6994 3.6994 0.0000
Lu Ti Ir
1 1 4
Cartesian
0.0000 0.0000 0.0000
5.5491 5.5491 5.5491
2.7741 2.7741 2.7741
4.6247 4.6247 2.7741
4.6247 2.7741 4.6247
2.7741 4.6247 4.6247
```

Density functional theory data (PBE-GGA) for an optimized crystal structure of HgN2OF.

Results
Size of the total moment, Bohr magnetons per cell: 5.7
DFT total energy, Ry/atom: -0.20131
Space group: P4/mmm
Volume, Å³ per cell: 83.0
Formation energy from raw total energies, meV per atom: 2017
Calculated density, g/cm3: 5.27

Structure (POSCAR):
```
HgN2OF
1.0
4.4007 0.0000 0.0000
0.0000 4.4007 0.0000
0.0000 0.0000 4.2883
Hg N O F
1 2 1 1
Cartesian
0.0000 0.0000 0.0000
0.0000 2.2003 0.0000
2.2003 0.0000 0.0000
0.0000 0.0000 2.1442
2.2003 2.2003 2.1442
```

Density functional theory data (PBE-GGA) for an optimized crystal structure of Ta2NbAuCl.

Results
Size of the total moment, Bohr magnetons per cell: 0.3
DFT total energy, Ry/atom: -0.43898
Space group: P4/mmm
Volume, Å³ per cell: 127.6
Formation energy from raw total energies, meV per atom: 1807
Calculated density, g/cm3: 8.94

Structure (POSCAR):
```
Ta2NbAuCl
1.0
5.0072 0.0000 0.0000
0.0000 5.0072 0.0000
0.0000 0.0000 5.0904
Ta Nb Au Cl
2 1 1 1
Cartesian
0.0000 2.5036 0.0000
2.5036 0.0000 0.0000
0.0000 0.0000 2.5452
0.0000 0.0000 0.0000
2.5036 2.5036 2.5452
```

Density functional theory data (PBE-GGA) for an optimized crystal structure of SrPCl2F.

Results
Size of the total moment, Bohr magnetons per cell: 1.9
DFT total energy, Ry/atom: -0.26504
Distance to the lowest polymorph of the same formula, meV per atom: 0.0
Space group: P4/mmm
Volume, Å³ per cell: 115.3
Formation energy from raw total energies, meV per atom: -1075
Calculated density, g/cm3: 3.00

Structure (POSCAR):
```
SrPCl2F
1.0
5.4626 0.0000 0.0000
0.0000 5.4626 0.0000
0.0000 0.0000 3.8653
Sr P Cl F
1 1 2 1
Cartesian
0.0000 0.0000 0.0000
2.7313 2.7313 0.0000
0.0000 2.7313 1.9327
2.7313 0.0000 1.9327
2.7313 2.7313 1.9327
```